(1)
CaHo2Sc | PBE-GGA | optimized geometry

Computed properties:
E above lowest polymorph: 0.000 eV/atom
DOS(E_F): 4.17 states/eV per cell

a = 3.8236 Å, b = 3.8236 Å, c = 8.8164 Å
α = 90.00°, β = 90.00°, γ = 90.00°
Fractional coordinates of all 4 atoms:
Ca: 0.0000 0.0000 0.0000
Ho: 0.5000 0.5000 0.2966
Ho: 0.5000 0.5000 0.7034
Sc: 0.0000 0.0000 0.5000


(2)
CaHo2Sc | PBE-GGA | optimized geometry

Computed properties:
E above lowest polymorph: 0.016 eV/atom
DOS(E_F): 15.49 states/eV per cell

a = 3.5179 Å, b = 3.5179 Å, c = 35.0827 Å
α = 90.00°, β = 90.00°, γ = 120.00°
Fractional coordinates of all 12 atoms:
Ca: 0.0000 0.0000 0.0000
Ca: 0.3333 0.6667 0.6667
Ca: 0.6667 0.3333 0.3333
Ho: 0.0000 0.0000 0.5750
Ho: 0.0000 0.0000 0.7576
Ho: 0.3333 0.6667 0.2416
Ho: 0.3333 0.6667 0.4243
Ho: 0.6667 0.3333 0.0910
Ho: 0.6667 0.3333 0.9083
Sc: 0.0000 0.0000 0.1661
Sc: 0.3333 0.6667 0.8328
Sc: 0.6667 0.3333 0.4994


(3)
CaHoSc2 | PBE-GGA | optimized geometry

Computed properties:
E above lowest polymorph: 0.075 eV/atom
DOS(E_F): 8.93 states/eV per cell

a = 4.9158 Å, b = 4.9158 Å, c = 4.8402 Å
α = 90.00°, β = 90.00°, γ = 90.00°
Fractional coordinates of all 4 atoms:
Ca: 0.0000 0.0000 0.0000
Ho: 0.5000 0.5000 0.0000
Sc: 0.0000 0.5000 0.5000
Sc: 0.5000 0.0000 0.5000


(4)
CaHoSc2 | PBE-GGA | optimized geometry

Computed properties:
E above lowest polymorph: 0.001 eV/atom
DOS(E_F): 18.18 states/eV per cell

a = 3.4465 Å, b = 3.4465 Å, c = 34.2621 Å
α = 90.00°, β = 90.00°, γ = 120.00°
Fractional coordinates of all 12 atoms:
Ca: 0.0000 0.0000 0.0000
Ca: 0.3333 0.6667 0.6667
Ca: 0.6667 0.3333 0.3333
Ho: 0.0000 0.0000 0.1660
Ho: 0.3333 0.6667 0.8327
Ho: 0.6667 0.3333 0.4993
Sc: 0.0000 0.0000 0.5782
Sc: 0.0000 0.0000 0.7540
Sc: 0.3333 0.6667 0.2449
Sc: 0.3333 0.6667 0.4207
Sc: 0.6667 0.3333 0.0874
Sc: 0.6667 0.3333 0.9115


(5)
CaHoSc2 | PBE-GGA | optimized geometry

Computed properties:
E above lowest polymorph: 0.000 eV/atom
DOS(E_F): 6.93 states/eV per cell

a = 3.4726 Å, b = 3.4726 Å, c = 9.8653 Å
α = 90.00°, β = 90.00°, γ = 90.00°
Fractional coordinates of all 4 atoms:
Ca: 0.0000 0.0000 0.0000
Ho: 0.0000 0.0000 0.5000
Sc: 0.5000 0.5000 0.2721
Sc: 0.5000 0.5000 0.7279


(6)
CaHo2Sc | PBE-GGA | optimized geometry

Computed properties:
E above lowest polymorph: 0.111 eV/atom
DOS(E_F): 27.80 states/eV per cell

a = 7.9072 Å, b = 7.9072 Å, c = 7.9072 Å
α = 90.00°, β = 90.00°, γ = 90.00°
Fractional coordinates of all 16 atoms:
Ca: 0.0000 0.0000 0.0000
Ca: 0.0000 0.5000 0.5000
Ca: 0.5000 0.0000 0.5000
Ca: 0.5000 0.5000 0.0000
Ho: 0.2500 0.2500 0.2500
Ho: 0.2500 0.2500 0.7500
Ho: 0.2500 0.7500 0.2500
Ho: 0.2500 0.7500 0.7500
Ho: 0.7500 0.2500 0.2500
Ho: 0.7500 0.2500 0.7500
Ho: 0.7500 0.7500 0.2500
Ho: 0.7500 0.7500 0.7500
Sc: 0.0000 0.0000 0.5000
Sc: 0.0000 0.5000 0.0000
Sc: 0.5000 0.0000 0.0000
Sc: 0.5000 0.5000 0.5000


Number 1: density 5.3 g cm⁻³. Number 2: density 5.5 g cm⁻³. Number 3: density 4.2 g cm⁻³. Number 4: density 4.2 g cm⁻³. Number 5: density 4.1 g cm⁻³. Number 6: density 5.6 g cm⁻³.